{
  "formula": "TcSnN2",
  "functional": "PBE",
  "state": "optimized geometry",
  "space_group": "No. 166",
  "crystal_system": "trigonal",
  "total_magnetization_mub_per_cell": 0.00,
  "cell": [[3.023, 0.000, 0.000], [-1.511, 2.618, 0.000], [0.000, 0.000, 20.229]],
  "species": ["Tc", "Tc", "Tc", "Sn", "Sn", "Sn", "N", "N", "N", "N", "N", "N"],
  "frac_coords": [[0.000, 0.000, 0.000], [0.333, 0.667, 0.667], [0.667, 0.333, 0.333], [0.000, 0.000, 0.500], [0.333, 0.667, 0.167], [0.667, 0.333, 0.833], [0.000, 0.000, 0.390], [0.000, 0.000, 0.610], [0.333, 0.667, 0.057], [0.333, 0.667, 0.277], [0.667, 0.333, 0.723], [0.667, 0.333, 0.943]]
}

---

{
  "formula": "Tc2SnN",
  "functional": "PBE",
  "state": "optimized geometry",
  "polymorph_energy_ev_per_atom": 0.000,
  "space_group": "No. 122",
  "crystal_system": "tetragonal",
  "total_magnetization_mub_per_cell": 4.31,
  "cell": [[6.535, 0.000, 0.000], [0.000, 6.535, 0.000], [0.000, 0.000, 5.673]],
  "species": ["Tc", "Tc", "Tc", "Tc", "Tc", "Tc", "Tc", "Tc", "Sn", "Sn", "Sn", "Sn", "N", "N", "N", "N"],
  "frac_coords": [[0.133, 0.250, 0.125], [0.250, 0.633, 0.375], [0.250, 0.867, 0.875], [0.367, 0.250, 0.625], [0.633, 0.750, 0.625], [0.750, 0.133, 0.875], [0.750, 0.367, 0.375], [0.867, 0.750, 0.125], [0.000, 0.000, 0.500], [0.000, 0.500, 0.750], [0.500, 0.000, 0.250], [0.500, 0.500, 0.000], [0.000, 0.000, 0.000], [0.000, 0.500, 0.250], [0.500, 0.000, 0.750], [0.500, 0.500, 0.500]]
}

---

{
  "formula": "TcSnTe2N",
  "functional": "PBE",
  "state": "optimized geometry",
  "polymorph_energy_ev_per_atom": 0.000,
  "space_group": "No. 123",
  "crystal_system": "tetragonal",
  "total_magnetization_mub_per_cell": 0.00,
  "cell": [[5.550, 0.000, 0.000], [0.000, 5.550, 0.000], [0.000, 0.000, 3.737]],
  "species": ["Tc", "Sn", "Te", "Te", "N"],
  "frac_coords": [[0.000, 0.000, 0.000], [0.500, 0.500, 0.500], [0.000, 0.500, 0.000], [0.500, 0.000, 0.000], [0.000, 0.000, 0.500]]
}

---

{
  "formula": "TcSn2TeN",
  "functional": "PBE",
  "state": "optimized geometry",
  "space_group": "No. 123",
  "crystal_system": "tetragonal",
  "total_magnetization_mub_per_cell": 4.71,
  "cell": [[5.976, 0.000, 0.000], [0.000, 5.976, 0.000], [0.000, 0.000, 5.028]],
  "species": ["Tc", "Sn", "Sn", "Te", "N"],
  "frac_coords": [[0.000, 0.000, 0.000], [0.000, 0.500, 0.500], [0.500, 0.000, 0.500], [0.000, 0.000, 0.500], [0.500, 0.500, 0.000]]
}

---

{
  "formula": "TcSnTe2N",
  "functional": "PBE",
  "state": "optimized geometry",
  "polymorph_energy_ev_per_atom": 1.173,
  "space_group": "No. 123",
  "crystal_system": "tetragonal",
  "total_magnetization_mub_per_cell": 4.11,
  "cell": [[5.804, 0.000, 0.000], [0.000, 5.804, 0.000], [0.000, 0.000, 3.868]],
  "species": ["Tc", "Sn", "Te", "Te", "N"],
  "frac_coords": [[0.000, 0.000, 0.000], [0.500, 0.500, 0.500], [0.000, 0.500, 0.500], [0.500, 0.000, 0.500], [0.500, 0.500, 0.000]]
}

---

{
  "formula": "Y2TcSnN",
  "functional": "PBE",
  "state": "optimized geometry",
  "space_group": "No. 123",
  "crystal_system": "tetragonal",
  "total_magnetization_mub_per_cell": 0.00,
  "cell": [[4.954, 0.000, 0.000], [0.000, 4.954, 0.000], [0.000, 0.000, 3.985]],
  "species": ["Y", "Y", "Tc", "Sn", "N"],
  "frac_coords": [[0.000, 0.500, 0.000], [0.500, 0.000, 0.000], [0.000, 0.000, 0.500], [0.500, 0.500, 0.500], [0.000, 0.000, 0.000]]
}

---

{
  "formula": "Zn2TcSnN4",
  "functional": "PBE",
  "state": "optimized geometry",
  "space_group": "No. 121",
  "crystal_system": "tetragonal",
  "total_magnetization_mub_per_cell": 1.06,
  "cell": [[4.868, 0.000, 0.000], [0.000, 4.868, 0.000], [0.000, 0.000, 9.179]],
  "species": ["Zn", "Zn", "Zn", "Zn", "Tc", "Tc", "Sn", "Sn", "N", "N", "N", "N", "N", "N", "N", "N"],
  "frac_coords": [[0.000, 0.500, 0.250], [0.000, 0.500, 0.750], [0.500, 0.000, 0.250], [0.500, 0.000, 0.750], [0.000, 0.000, 0.000], [0.500, 0.500, 0.500], [0.000, 0.000, 0.500], [0.500, 0.500, 0.000], [0.226, 0.226, 0.876], [0.226, 0.774, 0.124], [0.274, 0.274, 0.376], [0.274, 0.726, 0.624], [0.726, 0.274, 0.624], [0.726, 0.726, 0.376], [0.774, 0.226, 0.124], [0.774, 0.774, 0.876]]
}

---

{
  "formula": "SnTeN2",
  "functional": "PBE",
  "state": "optimized geometry",
  "polymorph_energy_ev_per_atom": 0.472,
  "space_group": "No. 166",
  "crystal_system": "trigonal",
  "total_magnetization_mub_per_cell": 0.00,
  "cell": [[3.335, 0.000, 0.000], [-1.668, 2.888, 0.000], [0.000, 0.000, 19.851]],
  "species": ["Sn", "Sn", "Sn", "Te", "Te", "Te", "N", "N", "N", "N", "N", "N"],
  "frac_coords": [[0.000, 0.000, 0.000], [0.333, 0.667, 0.667], [0.667, 0.333, 0.333], [0.000, 0.000, 0.500], [0.333, 0.667, 0.167], [0.667, 0.333, 0.833], [0.000, 0.000, 0.390], [0.000, 0.000, 0.610], [0.333, 0.667, 0.057], [0.333, 0.667, 0.277], [0.667, 0.333, 0.723], [0.667, 0.333, 0.943]]
}

---

| no. | uncorrected formation energy (eV per atom) | calculated density (g/cm3) | energy (eV/atom) |
| --- | --- | --- | --- |
| 1 | 0.311 | 7.617 | -7.44 |
| 2 | 0.204 | 9.013 | -8.06 |
| 3 | 0.177 | 7.010 | -5.62 |
| 4 | 2.031 | 4.412 | -3.94 |
| 5 | 1.350 | 6.193 | -4.45 |
| 6 | -0.750 | 6.935 | -7.87 |
| 7 | 0.193 | 6.162 | -6.08 |
| 8 | 0.472 | 7.146 | -5.48 |